[1]
# FeNi3Rh12 | Alexandria | PBE | relaxed
data_FeNi3Rh12
_chemical_formula_sum 'Fe1 Ni3 Rh12'
_cell_length_a 3.8010
_cell_length_b 3.8010
_cell_length_c 15.1402
_cell_angle_alpha 90.00
_cell_angle_beta 90.00
_cell_angle_gamma 90.00
_space_group_name_H-M_alt 'P 4/m m m'
_space_group_IT_number 123
_space_group_name_Hall '-P 4 2'
loop_
_atom_site_label
_atom_site_type_symbol
_atom_site_fract_x
_atom_site_fract_y
_atom_site_fract_z
Fe1 Fe 0.0000 0.0000 0.0000
Ni1 Ni 0.0000 0.0000 0.2527
Ni2 Ni 0.0000 0.0000 0.5000
Rh1 Rh 0.0000 0.5000 0.1258
Rh2 Rh 0.0000 0.5000 0.3752
Rh3 Rh 0.5000 0.5000 0.0000
Rh4 Rh 0.5000 0.5000 0.2501
Rh5 Rh 0.5000 0.5000 0.5000
# DFT total energy	-7.102	eV/atom



[2]
# FeNi4Rh3 | Alexandria | PBE | relaxed
data_FeNi4Rh3
_chemical_formula_sum 'Fe2 Ni8 Rh6'
_cell_length_a 2.5890
_cell_length_b 8.4324
_cell_length_c 9.3625
_cell_angle_alpha 90.00
_cell_angle_beta 90.00
_cell_angle_gamma 90.00
_space_group_name_H-M_alt 'I m m m'
_space_group_IT_number 71
_space_group_name_Hall '-I 2 2'
loop_
_atom_site_label
_atom_site_type_symbol
_atom_site_fract_x
_atom_site_fract_y
_atom_site_fract_z
Fe1 Fe 0.0000 0.0000 0.0000
Ni1 Ni 0.0000 0.2502 0.1291
Rh1 Rh 0.0000 0.0000 0.5000
Rh2 Rh 0.0000 0.5000 0.2701
# DFT total energy	-6.571	eV/atom



[3]
# Fe3Ni2Rh6 | Alexandria | PBE | relaxed
data_Fe3Ni2Rh6
_chemical_formula_sum 'Fe6 Ni4 Rh12'
_cell_length_a 3.7261
_cell_length_b 3.7261
_cell_length_c 22.9810
_cell_angle_alpha 90.00
_cell_angle_beta 90.00
_cell_angle_gamma 90.00
_space_group_name_H-M_alt 'I 4/m m m'
_space_group_IT_number 139
_space_group_name_Hall '-I 4 2'
loop_
_atom_site_label
_atom_site_type_symbol
_atom_site_fract_x
_atom_site_fract_y
_atom_site_fract_z
Fe1 Fe 0.0000 0.0000 0.0000
Fe2 Fe 0.0000 0.0000 0.1918
Ni1 Ni 0.0000 0.0000 0.4540
Rh1 Rh 0.0000 0.0000 0.2962
Rh2 Rh 0.0000 0.5000 0.1161
# DFT total energy	-7.019	eV/atom



[4]
# FeNi2Rh5 | Alexandria | PBE | relaxed
data_FeNi2Rh5
_chemical_formula_sum 'Fe2 Ni4 Rh10'
_cell_length_a 3.7859
_cell_length_b 3.7859
_cell_length_c 14.8320
_cell_angle_alpha 90.00
_cell_angle_beta 90.00
_cell_angle_gamma 90.00
_space_group_name_H-M_alt 'I 4/m m m'
_space_group_IT_number 139
_space_group_name_Hall '-I 4 2'
loop_
_atom_site_label
_atom_site_type_symbol
_atom_site_fract_x
_atom_site_fract_y
_atom_site_fract_z
Fe1 Fe 0.0000 0.0000 0.0000
Ni1 Ni 0.0000 0.0000 0.2507
Rh1 Rh 0.0000 0.0000 0.5000
Rh2 Rh 0.0000 0.5000 0.1285
# DFT total energy	-7.099	eV/atom



Please write out number 1 again, unchanged.
# FeNi3Rh12 | Alexandria | PBE | relaxed
data_FeNi3Rh12
_chemical_formula_sum 'Fe1 Ni3 Rh12'
_cell_length_a 3.8010
_cell_length_b 3.8010
_cell_length_c 15.1402
_cell_angle_alpha 90.00
_cell_angle_beta 90.00
_cell_angle_gamma 90.00
_space_group_name_H-M_alt 'P 4/m m m'
_space_group_IT_number 123
_space_group_name_Hall '-P 4 2'
loop_
_atom_site_label
_atom_site_type_symbol
_atom_site_fract_x
_atom_site_fract_y
_atom_site_fract_z
Fe1 Fe 0.0000 0.0000 0.0000
Ni1 Ni 0.0000 0.0000 0.2527
Ni2 Ni 0.0000 0.0000 0.5000
Rh1 Rh 0.0000 0.5000 0.1258
Rh2 Rh 0.0000 0.5000 0.3752
Rh3 Rh 0.5000 0.5000 0.0000
Rh4 Rh 0.5000 0.5000 0.2501
Rh5 Rh 0.5000 0.5000 0.5000
# DFT total energy	-7.102	eV/atom



Q: Number 3 is which compound?
A: Fe3Ni2Rh6